The following is a GGA-PBE calculation of a geometry-optimized LiGa2Rh structure, from the Alexandria database. Values from VASP.

```
&SYSTEM
  ibrav = 0, nat = 4, ntyp = 3
/
ATOMIC_SPECIES
Li 6.94 Li.upf
Ga 69.72 Ga.upf
Rh 102.91 Rh.upf
CELL_PARAMETERS angstrom
3.164 0.000 0.000
0.000 3.164 0.000
0.000 0.000 5.661
ATOMIC_POSITIONS crystal
Li 0.000 0.000 0.000
Ga 0.500 0.500 0.250
Ga 0.500 0.500 0.750
Rh 0.000 0.000 0.500
```

Output
- E above lowest polymorph (meV/atom) = 59
- crystal system = tetragonal
- calculated formation energy (kJ per mole of atoms) = -47.85



The following is a GGA-PBE calculation of a geometry-optimized LiGa2Rh2 structure, from the Alexandria database. Values from VASP.

```
&SYSTEM
  ibrav = 0, nat = 10, ntyp = 3
/
ATOMIC_SPECIES
Li 6.94 Li.upf
Ga 69.72 Ga.upf
Rh 102.91 Rh.upf
CELL_PARAMETERS angstrom
4.083 0.000 0.000
0.000 4.083 0.000
0.000 0.000 10.445
ATOMIC_POSITIONS crystal
Li 0.000 0.000 0.000
Li 0.500 0.500 0.500
Ga 0.000 0.000 0.381
Ga 0.000 0.000 0.619
Ga 0.500 0.500 0.119
Ga 0.500 0.500 0.881
Rh 0.000 0.500 0.250
Rh 0.000 0.500 0.750
Rh 0.500 0.000 0.250
Rh 0.500 0.000 0.750
```

Output
- E above lowest polymorph (meV/atom) = 254
- crystal system = tetragonal
- calculated formation energy (kJ per mole of atoms) = -35.98



The following is a GGA-PBE calculation of a geometry-optimized Li6Ga12Rh structure, from the Alexandria database. Values from VASP.

```
&SYSTEM
  ibrav = 0, nat = 19, ntyp = 3
/
ATOMIC_SPECIES
Li 6.94 Li.upf
Ga 69.72 Ga.upf
Rh 102.91 Rh.upf
CELL_PARAMETERS angstrom
5.624 3.247 2.973
-5.624 3.247 2.973
0.000 -6.493 2.973
ATOMIC_POSITIONS crystal
Li 0.064 0.295 0.400
Li 0.295 0.400 0.064
Li 0.400 0.064 0.295
Li 0.600 0.936 0.705
Li 0.705 0.600 0.936
Li 0.936 0.705 0.600
Ga 0.019 0.898 0.315
Ga 0.102 0.685 0.981
Ga 0.225 0.656 0.375
Ga 0.315 0.019 0.898
Ga 0.344 0.625 0.775
Ga 0.375 0.225 0.656
Ga 0.625 0.775 0.344
Ga 0.656 0.375 0.225
Ga 0.685 0.981 0.102
Ga 0.775 0.344 0.625
Ga 0.898 0.315 0.019
Ga 0.981 0.102 0.685
Rh 0.500 0.500 0.500
```

Output
- E above lowest polymorph (meV/atom) = 54
- crystal system = trigonal
- calculated formation energy (kJ per mole of atoms) = -21.77



The following is a GGA-PBE calculation of a geometry-optimized Li2Ga2Rh structure, from the Alexandria database. Values from VASP.

```
&SYSTEM
  ibrav = 0, nat = 10, ntyp = 3
/
ATOMIC_SPECIES
Li 6.94 Li.upf
Ga 69.72 Ga.upf
Rh 102.91 Rh.upf
CELL_PARAMETERS angstrom
3.333 0.000 0.000
0.000 3.333 0.000
0.000 0.000 13.330
ATOMIC_POSITIONS crystal
Li 0.000 0.500 0.250
Li 0.000 0.500 0.750
Li 0.500 0.000 0.250
Li 0.500 0.000 0.750
Ga 0.000 0.000 0.097
Ga 0.000 0.000 0.903
Ga 0.500 0.500 0.403
Ga 0.500 0.500 0.597
Rh 0.000 0.000 0.500
Rh 0.500 0.500 0.000
```

Output
- E above lowest polymorph (meV/atom) = 306
- crystal system = tetragonal
- calculated formation energy (kJ per mole of atoms) = -21.55



The following is a GGA-PBE calculation of a geometry-optimized Li4Ga3Rh structure, from the Alexandria database. Values from VASP.

```
&SYSTEM
  ibrav = 0, nat = 16, ntyp = 3
/
ATOMIC_SPECIES
Li 6.94 Li.upf
Ga 69.72 Ga.upf
Rh 102.91 Rh.upf
CELL_PARAMETERS angstrom
17.821 0.000 0.000
0.000 3.179 0.000
-0.991 0.000 4.119
ATOMIC_POSITIONS crystal
Li 0.120 0.000 0.120
Li 0.250 0.000 0.750
Li 0.250 0.500 0.250
Li 0.380 0.500 0.880
Li 0.620 0.500 0.120
Li 0.750 0.000 0.250
Li 0.750 0.500 0.750
Li 0.880 0.000 0.880
Ga 0.000 0.500 0.000
Ga 0.125 0.500 0.625
Ga 0.375 0.000 0.375
Ga 0.500 0.000 0.000
Ga 0.625 0.000 0.625
Ga 0.875 0.500 0.375
Rh 0.000 0.000 0.500
Rh 0.500 0.500 0.500
```

Output
- crystal system = monoclinic
- calculated formation energy (kJ per mole of atoms) = -33.23



The following is a GGA-PBE calculation of a geometry-optimized LiGaRh2 structure, from the Alexandria database. Values from VASP.

```
&SYSTEM
  ibrav = 0, nat = 4, ntyp = 3
/
ATOMIC_SPECIES
Li 6.94 Li.upf
Ga 69.72 Ga.upf
Rh 102.91 Rh.upf
CELL_PARAMETERS angstrom
3.018 0.000 0.000
0.000 3.018 0.000
0.000 0.000 5.837
ATOMIC_POSITIONS crystal
Li 0.000 0.000 0.000
Ga 0.000 0.000 0.500
Rh 0.500 0.500 0.249
Rh 0.500 0.500 0.751
```

Output
- crystal system = tetragonal
- calculated formation energy (kJ per mole of atoms) = -41.45



The following is a GGA-PBE calculation of a geometry-optimized LiGa2Rh structure, from the Alexandria database. Values from VASP.

```
&SYSTEM
  ibrav = 0, nat = 12, ntyp = 3
/
ATOMIC_SPECIES
Li 6.94 Li.upf
Ga 69.72 Ga.upf
Rh 102.91 Rh.upf
CELL_PARAMETERS angstrom
4.113 0.000 0.000
-2.056 3.562 0.000
0.000 0.000 13.813
ATOMIC_POSITIONS crystal
Li 0.000 0.000 0.000
Li 0.333 0.667 0.667
Li 0.667 0.333 0.333
Ga 0.000 0.000 0.215
Ga 0.000 0.000 0.421
Ga 0.333 0.667 0.088
Ga 0.333 0.667 0.882
Ga 0.667 0.333 0.549
Ga 0.667 0.333 0.755
Rh 0.000 0.000 0.807
Rh 0.333 0.667 0.473
Rh 0.667 0.333 0.140
```

Output
- E above lowest polymorph (meV/atom) = 171
- crystal system = trigonal
- calculated formation energy (kJ per mole of atoms) = -36.97



The following is a GGA-PBE calculation of a geometry-optimized Li2GaRh structure, from the Alexandria database. Values from VASP.

```
&SYSTEM
  ibrav = 0, nat = 4, ntyp = 3
/
ATOMIC_SPECIES
Li 6.94 Li.upf
Ga 69.72 Ga.upf
Rh 102.91 Rh.upf
CELL_PARAMETERS angstrom
3.627 0.000 0.000
0.000 3.627 0.000
0.000 0.000 4.212
ATOMIC_POSITIONS crystal
Li 0.000 0.500 0.000
Li 0.500 0.000 0.000
Ga 0.000 0.000 0.500
Rh 0.500 0.500 0.500
```

Output
- crystal system = tetragonal
- calculated formation energy (kJ per mole of atoms) = -40.33



The following is a GGA-PBE calculation of a geometry-optimized Li6GaRh2 structure, from the Alexandria database. Values from VASP.

```
&SYSTEM
  ibrav = 0, nat = 9, ntyp = 3
/
ATOMIC_SPECIES
Li 6.94 Li.upf
Ga 69.72 Ga.upf
Rh 102.91 Rh.upf
CELL_PARAMETERS angstrom
3.467 -6.576 0.000
3.467 6.576 0.000
-0.517 0.000 2.969
ATOMIC_POSITIONS crystal
Li 0.001 0.349 0.331
Li 0.186 0.186 0.854
Li 0.349 0.001 0.331
Li 0.651 0.999 0.669
Li 0.814 0.814 0.146
Li 0.999 0.651 0.669
Ga 0.500 0.500 0.500
Rh 0.350 0.650 0.000
Rh 0.650 0.350 0.000
```

Output
- crystal system = monoclinic
- calculated formation energy (kJ per mole of atoms) = -20.44



The following is a GGA-PBE calculation of a geometry-optimized Li2GaRh2 structure, from the Alexandria database. Values from VASP.

```
&SYSTEM
  ibrav = 0, nat = 10, ntyp = 3
/
ATOMIC_SPECIES
Li 6.94 Li.upf
Ga 69.72 Ga.upf
Rh 102.91 Rh.upf
CELL_PARAMETERS angstrom
6.433 0.000 0.000
0.000 6.433 0.000
0.000 0.000 3.476
ATOMIC_POSITIONS crystal
Li 0.159 0.341 0.000
Li 0.341 0.841 0.000
Li 0.659 0.159 0.000
Li 0.841 0.659 0.000
Ga 0.000 0.000 0.500
Ga 0.500 0.500 0.500
Rh 0.143 0.643 0.500
Rh 0.357 0.143 0.500
Rh 0.643 0.857 0.500
Rh 0.857 0.357 0.500
```

Output
- E above lowest polymorph (meV/atom) = 0
- crystal system = tetragonal
- calculated formation energy (kJ per mole of atoms) = -25.61



The following is a GGA-PBE calculation of a geometry-optimized LiGa4Rh5 structure, from the Alexandria database. Values from VASP.

```
&SYSTEM
  ibrav = 0, nat = 10, ntyp = 3
/
ATOMIC_SPECIES
Li 6.94 Li.upf
Ga 69.72 Ga.upf
Rh 102.91 Rh.upf
CELL_PARAMETERS angstrom
3.030 0.000 0.000
0.000 3.030 0.000
0.000 0.000 14.916
ATOMIC_POSITIONS crystal
Li 0.000 0.000 0.000
Ga 0.000 0.000 0.189
Ga 0.000 0.000 0.397
Ga 0.000 0.000 0.603
Ga 0.000 0.000 0.811
Rh 0.500 0.500 0.098
Rh 0.500 0.500 0.299
Rh 0.500 0.500 0.500
Rh 0.500 0.500 0.701
Rh 0.500 0.500 0.902
```

Output
- crystal system = tetragonal
- calculated formation energy (kJ per mole of atoms) = -60.37



The following is a GGA-PBE calculation of a geometry-optimized Li2Ga4Rh structure, from the Alexandria database. Values from VASP.

```
&SYSTEM
  ibrav = 0, nat = 14, ntyp = 3
/
ATOMIC_SPECIES
Li 6.94 Li.upf
Ga 69.72 Ga.upf
Rh 102.91 Rh.upf
CELL_PARAMETERS angstrom
4.704 0.000 0.000
0.000 4.704 0.000
0.000 0.000 13.434
ATOMIC_POSITIONS crystal
Li 0.000 0.000 0.119
Li 0.000 0.000 0.881
Li 0.500 0.500 0.381
Li 0.500 0.500 0.619
Ga 0.000 0.000 0.312
Ga 0.000 0.000 0.688
Ga 0.000 0.500 0.000
Ga 0.000 0.500 0.500
Ga 0.500 0.000 0.000
Ga 0.500 0.000 0.500
Ga 0.500 0.500 0.188
Ga 0.500 0.500 0.812
Rh 0.000 0.000 0.500
Rh 0.500 0.500 0.000
```

Output
- E above lowest polymorph (meV/atom) = 178
- crystal system = tetragonal
- calculated formation energy (kJ per mole of atoms) = -11.88



no.,magnetization (μB per formula unit),density of states at the Fermi level (states/eV/atom)
1,0.00,0.479
2,0.00,0.496
3,0.00,0.321
4,0.00,0.619
5,0.00,0.422
6,0.00,1.029
7,0.00,0.507
8,0.00,0.457
9,0.00,0.360
10,0.00,0.544
11,0.00,0.233
12,0.00,0.475